[1]
VASP calculation (PBE-GGA) on WSeS3Br after structural relaxation.

Properties
Space-group type ... P-1 (2)
E_tot ... -5.469 eV per atom
Relative energy among the computed polymorphs ... 0 meV/atom
Magnetization ... 0.000 μB/f.u.

Cell: 6.179 7.858 8.036 Å, 118.21 106.27 96.13°
Element x y z (fractional)
W  0.226  0.000  0.000
W  0.774  0.000  0.000
Se  0.129  0.316  0.235
Se  0.871  0.684  0.765
S  0.394  0.941  0.730
S  0.970  0.153  0.861
S  0.606  0.059  0.270
S  0.526  0.228  0.984
S  0.030  0.847  0.139
S  0.474  0.772  0.016
Br  0.732  0.634  0.402
Br  0.268  0.366  0.598

[2]
VASP calculation (PBE-GGA) on ZrSe2S2Br6 after structural relaxation.

Properties
Space-group type ... P-1 (2)
E_tot ... -3.705 eV per atom
Magnetization ... 0.003 μB/f.u.

Cell: 7.582 7.734 8.401 Å, 65.12 63.91 61.53°
Element x y z (fractional)
Br  0.035  0.613  0.187
Br  0.162  0.026  0.212
Br  0.965  0.387  0.813
Br  0.838  0.974  0.788
Br  0.377  0.869  0.780
Br  0.623  0.131  0.220
Se  0.565  0.673  0.324
Se  0.435  0.327  0.676
S  0.728  0.392  0.504
S  0.272  0.608  0.496
Zr  0.000  0.000  0.000

[3]
VASP calculation (PBE-GGA) on Zr2SeSBr2 after structural relaxation.

Properties
Space-group type ... Pmm2 (25)
E_tot ... -6.117 eV per atom
Magnetization ... 0.003 μB/f.u.

Cell: 3.742 5.211 8.611 Å, 90.00 90.00 90.00°
Element x y z (fractional)
Zr  0.000  0.500  0.402
Zr  0.500  0.000  0.589
Br  0.500  0.500  0.169
Br  0.000  0.000  0.826
S  0.000  0.000  0.380
Se  0.500  0.500  0.634

[4]
VASP calculation (PBE-GGA) on Sm3Si2S8Br after structural relaxation.

Properties
Space-group type ... C2/c (15)
E_tot ... -5.733 eV per atom
Magnetization ... 0.000 μB/f.u.

Cell: 7.643 8.720 10.857 Å, 97.63 90.00 115.99°
Element x y z (fractional)
Sm  0.619  0.000  0.250
Sm  0.075  0.398  0.683
Sm  0.925  0.602  0.317
Sm  0.323  0.398  0.183
Sm  0.381  0.000  0.750
Sm  0.677  0.602  0.817
S  0.103  0.712  0.856
S  0.258  0.706  0.166
S  0.742  0.294  0.834
S  0.146  0.432  0.413
S  0.897  0.288  0.144
S  0.272  0.868  0.458
S  0.448  0.706  0.666
S  0.714  0.568  0.087
S  0.552  0.294  0.334
S  0.854  0.568  0.587
S  0.391  0.288  0.644
S  0.404  0.132  0.042
S  0.596  0.868  0.958
S  0.286  0.432  0.913
S  0.728  0.132  0.542
S  0.609  0.712  0.356
Si  0.377  0.683  0.473
Si  0.306  0.683  0.973
Si  0.623  0.317  0.527
Si  0.694  0.317  0.027
Br  0.007  0.000  0.250
Br  0.993  0.000  0.750

[5]
VASP calculation (PBE-GGA) on SmSBr after structural relaxation.

Properties
Space-group type ... P2_1/c (14)
E_tot ... -5.502 eV per atom
Magnetization ... 0.000 μB/f.u.

Cell: 7.011 7.017 6.909 Å, 90.00 99.89 90.00°
Element x y z (fractional)
Sm  0.181  0.534  0.291
Sm  0.181  0.966  0.791
Sm  0.819  0.034  0.209
Sm  0.819  0.466  0.709
Br  0.582  0.118  0.793
Br  0.418  0.882  0.207
Br  0.418  0.618  0.707
Br  0.582  0.382  0.293
S  0.050  0.259  0.008
S  0.950  0.741  0.992
S  0.050  0.241  0.508
S  0.950  0.759  0.492

[6]
VASP calculation (PBE-GGA) on TbSmS2Br2 after structural relaxation.

Properties
Space-group type ... Pmm2 (25)
E_tot ... -5.497 eV per atom
Magnetization ... 0.002 μB/f.u.

Cell: 4.157 5.408 9.251 Å, 90.00 90.00 90.00°
Element x y z (fractional)
Sm  0.500  0.000  0.131
S  0.500  0.500  0.066
S  0.000  0.000  0.926
Tb  0.000  0.500  0.870
Br  0.000  0.000  0.348
Br  0.500  0.500  0.659

[7]
VASP calculation (PBE-GGA) on SmTmS2Br2 after structural relaxation.

Properties
Space-group type ... Pmm2 (25)
E_tot ... -5.462 eV per atom
Magnetization ... 0.003 μB/f.u.

Cell: 4.102 5.362 9.205 Å, 90.00 90.00 90.00°
Element x y z (fractional)
Tm  0.000  0.500  0.871
Br  0.000  0.000  0.351
Br  0.500  0.500  0.663
S  0.000  0.000  0.922
S  0.500  0.500  0.064
Sm  0.500  0.000  0.130

[8]
VASP calculation (PBE-GGA) on Ta4S9Br8 after structural relaxation.

Properties
Space-group type ... I4mm (107)
E_tot ... -5.471 eV per atom
Magnetization ... 0.005 μB/f.u.

Cell: 7.241 9.963 9.963 Å, 97.59 111.31 68.69°
Element x y z (fractional)
Br  0.370  0.230  0.770
Br  0.718  0.354  0.646
Br  0.830  0.770  0.230
Br  0.426  0.646  0.354
Br  0.600  0.770  0.770
Br  0.072  0.354  0.354
Br  0.600  0.230  0.230
Br  0.072  0.646  0.646
S  0.303  0.734  0.000
S  0.737  0.000  0.614
S  0.123  0.614  0.000
S  0.826  0.000  0.000
S  0.737  0.386  0.000
S  0.037  0.000  0.734
S  0.037  0.266  0.000
S  0.123  0.000  0.386
S  0.303  0.000  0.266
Ta  0.934  0.821  0.821
Ta  0.754  0.179  0.821
Ta  0.113  0.821  0.179
Ta  0.934  0.179  0.179

[9]
VASP calculation (PBE-GGA) on TbSBr after structural relaxation.

Properties
Space-group type ... P2_1/c (14)
E_tot ... -5.462 eV per atom
Magnetization ... 0.002 μB/f.u.

Cell: 6.876 6.907 6.824 Å, 90.00 100.08 90.00°
Element x y z (fractional)
S  0.445  0.760  0.992
S  0.445  0.740  0.492
S  0.555  0.240  0.008
S  0.555  0.260  0.508
Br  0.080  0.375  0.798
Br  0.080  0.125  0.298
Br  0.920  0.625  0.202
Br  0.920  0.875  0.702
Tb  0.321  0.463  0.207
Tb  0.679  0.963  0.293
Tb  0.679  0.537  0.793
Tb  0.321  0.037  0.707

[10]
VASP calculation (PBE-GGA) on TbTmS2Br2 after structural relaxation.

Properties
Space-group type ... Pmm2 (25)
E_tot ... -5.463 eV per atom
Magnetization ... 0.003 μB/f.u.

Cell: 4.046 5.340 9.078 Å, 90.00 90.00 90.00°
Element x y z (fractional)
S  0.000  0.000  0.921
S  0.500  0.500  0.072
Tb  0.500  0.000  0.127
Br  0.000  0.000  0.346
Br  0.500  0.500  0.661
Tm  0.000  0.500  0.874

[11]
VASP calculation (PBE-GGA) on TeWS3Br after structural relaxation.

Properties
Space-group type ... P-1 (2)
E_tot ... -5.404 eV per atom
Relative energy among the computed polymorphs ... 0 meV/atom
Magnetization ... 0.002 μB/f.u.

Cell: 6.230 7.959 8.166 Å, 115.94 106.22 96.00°
Element x y z (fractional)
S  0.965  0.145  0.854
S  0.601  0.049  0.261
S  0.522  0.222  0.978
S  0.035  0.855  0.146
S  0.478  0.778  0.022
S  0.399  0.951  0.739
Br  0.270  0.365  0.603
Br  0.730  0.635  0.397
Te  0.132  0.331  0.239
Te  0.868  0.669  0.761
W  0.773  0.000  0.000
W  0.227  0.000  0.000

[12]
VASP calculation (PBE-GGA) on TeWS3Br after structural relaxation.

Properties
Space-group type ... P-1 (2)
E_tot ... -5.322 eV per atom
Relative energy among the computed polymorphs ... 82 meV/atom
Magnetization ... 0.002 μB/f.u.

Cell: 6.327 8.077 8.199 Å, 105.48 105.33 112.91°
Element x y z (fractional)
W  0.776  0.000  0.000
W  0.224  0.000  0.000
S  0.483  0.092  0.815
S  0.517  0.908  0.185
S  0.826  0.709  0.917
S  0.174  0.291  0.083
S  0.168  0.147  0.274
S  0.832  0.853  0.726
Te  0.275  0.732  0.731
Te  0.725  0.268  0.269
Br  0.094  0.357  0.757
Br  0.906  0.643  0.243

[13]
VASP calculation (PBE-GGA) on YTmS2Br2 after structural relaxation.

Properties
Space-group type ... Pmm2 (25)
E_tot ... -5.771 eV per atom
Magnetization ... 0.000 μB/f.u.

Cell: 4.034 5.336 9.072 Å, 90.00 90.00 90.00°
Element x y z (fractional)
S  0.000  0.500  0.079
S  0.500  0.000  0.927
Y  0.500  0.500  0.873
Br  0.500  0.000  0.339
Br  0.000  0.500  0.654
Tm  0.000  0.000  0.126

[14]
VASP calculation (PBE-GGA) on WSBr4 after structural relaxation.

Properties
Space-group type ... P2_1/c (14)
E_tot ... -4.438 eV per atom
Magnetization ... 0.004 μB/f.u.

Cell: 10.356 6.409 13.492 Å, 90.00 110.43 90.00°
Element x y z (fractional)
Br  0.196  0.724  0.695
Br  0.622  0.702  0.334
Br  0.799  0.804  0.100
Br  0.622  0.798  0.834
Br  0.021  0.762  0.927
Br  0.378  0.202  0.166
Br  0.979  0.238  0.073
Br  0.804  0.276  0.305
Br  0.201  0.196  0.900
Br  0.804  0.224  0.805
Br  0.799  0.696  0.600
Br  0.201  0.304  0.400
Br  0.021  0.738  0.427
Br  0.196  0.776  0.195
Br  0.979  0.262  0.573
Br  0.378  0.298  0.666
S  0.385  0.764  0.520
S  0.385  0.736  0.020
S  0.615  0.264  0.980
S  0.615  0.236  0.480
W  0.237  0.936  0.042
W  0.763  0.436  0.458
W  0.763  0.064  0.958
W  0.237  0.564  0.542

[15]
VASP calculation (PBE-GGA) on Zn6SBr2 after structural relaxation.

Properties
Space-group type ... P-62m (189)
E_tot ... -1.416 eV per atom

Cell: 7.797 7.797 3.526 Å, 90.00 90.00 120.00°
Element x y z (fractional)
Zn  0.250  0.000  0.000
Zn  0.000  0.250  0.000
Zn  0.000  0.594  0.500
Zn  0.406  0.406  0.500
Zn  0.594  0.000  0.500
Zn  0.750  0.750  0.000
Br  0.667  0.333  0.000
Br  0.333  0.667  0.000
S  0.000  0.000  0.500

[16]
VASP calculation (PBE-GGA) on TbSmSbBr2 after structural relaxation.

Properties
Space-group type ... P3m1 (156)
E_tot ... -4.858 eV per atom
Magnetization ... 0.007 μB/f.u.

Cell: 4.275 4.275 10.911 Å, 90.00 90.00 120.00°
Element x y z (fractional)
Br  0.333  0.667  0.321
Br  0.667  0.333  0.683
Sb  0.000  0.000  0.996
Sm  0.667  0.333  0.161
Tb  0.333  0.667  0.839

[17]
VASP calculation (PBE-GGA) on SmYSbBr2 after structural relaxation.

Properties
Space-group type ... P3m1 (156)
E_tot ... -5.229 eV per atom
Magnetization ... 0.005 μB/f.u.

Cell: 4.268 4.268 10.902 Å, 90.00 90.00 120.00°
Element x y z (fractional)
Br  0.667  0.333  0.683
Br  0.333  0.667  0.322
Sm  0.667  0.333  0.161
Sb  0.000  0.000  0.995
Y  0.333  0.667  0.839

[18]
VASP calculation (PBE-GGA) on TbSbBr6 after structural relaxation.

Properties
Space-group type ... C2 (5)
E_tot ... -3.586 eV per atom
Magnetization ... 0.002 μB/f.u.

Cell: 7.136 7.136 6.946 Å, 100.11 100.11 120.14°
Element x y z (fractional)
Br  0.064  0.416  0.752
Br  0.414  0.063  0.752
Br  0.584  0.936  0.248
Br  0.238  0.237  0.246
Br  0.763  0.762  0.754
Br  0.937  0.586  0.248
Sb  0.834  0.166  0.000
Tb  0.166  0.834  0.000

[19]
VASP calculation (PBE-GGA) on TbYSbBr2 after structural relaxation.

Properties
Space-group type ... P3m1 (156)
E_tot ... -5.194 eV per atom
Magnetization ... 0.004 μB/f.u.

Cell: 4.230 4.230 10.822 Å, 90.00 90.00 120.00°
Element x y z (fractional)
Br  0.667  0.333  0.681
Br  0.333  0.667  0.319
Sb  0.000  0.000  0.001
Tb  0.333  0.667  0.839
Y  0.667  0.333  0.160

[20]
VASP calculation (PBE-GGA) on Tc3SbBr after structural relaxation.

Properties
Space-group type ... Pm-3m (221)
E_tot ... -5.438 eV per atom
Magnetization ... 8.200 μB/f.u.

Cell: 5.058 5.060 5.065 Å, 90.00 90.00 90.00°
Each line ends with the local moment (μB).
Element x y z (fractional)
Sb  0.500  0.500  0.500  -0.11
Tc  0.500  0.000  0.500  2.36
Tc  0.000  0.500  0.500  2.36
Tc  0.500  0.500  0.000  2.37
Br  0.000  0.000  0.000  0.20